Entry 1:
{"formula": "PaZn2Os", "functional": "PBE", "state": "relaxed", "ef_ev_per_atom": -0.248, "crystal_system": "monoclinic", "m_tot_mub_per_cell": 0.00, "lattice": [[4.6781, 0.0000, 0.0000], [0.0000, 6.4046, 0.0000], [-1.4612, 0.0000, 4.8406]], "species": ["Pa", "Pa", "Zn", "Zn", "Zn", "Zn", "Os", "Os"], "frac_coords": [[0.0406, 0.2500, 0.1593], [0.9594, 0.7500, 0.8407], [0.4207, 0.0507, 0.7302], [0.4207, 0.4493, 0.7302], [0.5793, 0.5507, 0.2698], [0.5793, 0.9493, 0.2698], [0.1000, 0.7500, 0.3626], [0.9000, 0.2500, 0.6374]]}

=====

Entry 2:
{"formula": "SiSeI2O", "functional": "PBE", "state": "relaxed", "raw_formation_energy_kj_per_mol_atoms": 41.0, "crystal_system": "tetragonal", "m_tot_mub_per_cell": 0.15, "lattice": [[5.8366, 0.0000, 0.0000], [0.0000, 5.8366, 0.0000], [0.0000, 0.0000, 3.8230]], "species": ["Si", "Se", "I", "I", "O"], "frac_coords": [[0.0000, 0.0000, 0.0000], [0.5000, 0.5000, 0.5000], [0.0000, 0.5000, 0.5000], [0.5000, 0.0000, 0.5000], [0.5000, 0.5000, 0.0000]]}

=====

Entry 3:
{"formula": "BC3", "functional": "PBE", "state": "relaxed", "ef_ev_per_atom": 0.310, "crystal_system": "trigonal", "m_tot_mub_per_cell": 0.00, "lattice": [[2.6075, 0.0000, 0.0000], [-1.3037, 2.2581, 0.0000], [0.0000, 0.0000, 14.1419]], "species": ["B", "B", "B", "C", "C", "C", "C", "C", "C", "C", "C", "C"], "frac_coords": [[0.0000, 0.0000, 0.0000], [0.0000, 0.0000, 0.2489], [0.3333, 0.6667, 0.7164], [0.0000, 0.0000, 0.5629], [0.0000, 0.0000, 0.6693], [0.3333, 0.6667, 0.2641], [0.3333, 0.6667, 0.3799], [0.3333, 0.6667, 0.8313], [0.6667, 0.3333, 0.4160], [0.6667, 0.3333, 0.5252], [0.6667, 0.3333, 0.8660], [0.6667, 0.3333, 0.9855]]}

=====

Entry 4:
{"formula": "RbLiMn2Br8", "functional": "PBE", "state": "relaxed", "raw_formation_energy_kj_per_mol_atoms": -88.7, "crystal_system": "trigonal", "m_tot_mub_per_cell": 8.00, "lattice": [[6.9224, 0.0000, 0.0000], [-3.4612, 5.9950, 0.0000], [0.0000, 0.0000, 9.5800]], "species": ["Rb", "Li", "Mn", "Mn", "Br", "Br", "Br", "Br", "Br", "Br", "Br", "Br"], "frac_coords": [[0.0000, 0.0000, 0.0000], [0.0000, 0.0000, 0.5000], [0.3333, 0.6667, 0.7418], [0.6667, 0.3333, 0.2582], [0.0113, 0.3247, 0.6741], [0.3134, 0.9887, 0.6741], [0.3247, 0.3134, 0.3259], [0.3333, 0.6667, 0.9890], [0.6667, 0.3333, 0.0110], [0.6753, 0.6866, 0.6741], [0.6866, 0.0113, 0.3259], [0.9887, 0.6753, 0.3259]]}

=====

Entry 5:
{"formula": "Ba2TiMoCl", "functional": "PBE", "state": "relaxed", "raw_formation_energy_kj_per_mol_atoms": 11.3, "crystal_system": "tetragonal", "m_tot_mub_per_cell": 0.00, "lattice": [[6.3128, 0.0000, 0.0000], [0.0000, 6.3128, 0.0000], [0.0000, 0.0000, 4.5244]], "species": ["Ba", "Ba", "Ti", "Mo", "Cl"], "frac_coords": [[0.0000, 0.5000, 0.0000], [0.5000, 0.0000, 0.0000], [0.0000, 0.0000, 0.5000], [0.0000, 0.0000, 0.0000], [0.5000, 0.5000, 0.5000]]}

=====

Entry 6:
{"formula": "GaSb2N", "functional": "PBE", "state": "relaxed", "raw_formation_energy_kj_per_mol_atoms": 45.2, "crystal_system": "tetragonal", "m_tot_mub_per_cell": 0.00, "lattice": [[5.4848, 0.0000, 0.0000], [0.0000, 5.4848, 0.0000], [0.0000, 0.0000, 12.3721]], "species": ["Ga", "Ga", "Ga", "Ga", "Sb", "Sb", "Sb", "Sb", "Sb", "Sb", "Sb", "Sb", "N", "N", "N", "N"], "frac_coords": [[0.0000, 0.0000, 0.0000], [0.0000, 0.5000, 0.2500], [0.5000, 0.0000, 0.7500], [0.5000, 0.5000, 0.5000], [0.1821, 0.2500, 0.6250], [0.2500, 0.6821, 0.8750], [0.2500, 0.8179, 0.3750], [0.3179, 0.2500, 0.1250], [0.6821, 0.7500, 0.1250], [0.7500, 0.1821, 0.3750], [0.7500, 0.3179, 0.8750], [0.8179, 0.7500, 0.6250], [0.0000, 0.0000, 0.5000], [0.0000, 0.5000, 0.7500], [0.5000, 0.0000, 0.2500], [0.5000, 0.5000, 0.0000]]}

=====

Entry 7:
{"formula": "CoTe2As", "functional": "PBE", "state": "relaxed", "raw_formation_energy_kj_per_mol_atoms": 40.3, "crystal_system": "tetragonal", "m_tot_mub_per_cell": 0.00, "lattice": [[3.1282, 0.0000, 0.0000], [0.0000, 3.1282, 0.0000], [0.0000, 0.0000, 8.6956]], "species": ["Co", "Te", "Te", "As"], "frac_coords": [[0.0000, 0.0000, 0.0000], [0.5000, 0.5000, 0.1870], [0.5000, 0.5000, 0.8130], [0.0000, 0.0000, 0.5000]]}

=====

Entry 8:
{"formula": "Tb2PaIr3", "functional": "PBE", "state": "relaxed", "ef_ev_per_atom": -0.767, "crystal_system": "monoclinic", "m_tot_mub_per_cell": 0.00, "lattice": [[6.8818, -2.8023, 0.0000], [6.8818, 2.8023, 0.0000], [-1.6924, 0.0000, 6.7365]], "species": ["Tb", "Tb", "Tb", "Tb", "Pa", "Pa", "Ir", "Ir", "Ir", "Ir", "Ir", "Ir"], "frac_coords": [[0.0756, 0.2815, 0.1376], [0.2815, 0.0756, 0.6376], [0.7185, 0.9244, 0.3624], [0.9244, 0.7185, 0.8624], [0.3843, 0.6157, 0.2500], [0.6157, 0.3843, 0.7500], [0.0920, 0.9080, 0.7500], [0.2464, 0.4538, 0.4914], [0.4538, 0.2464, 0.9914], [0.5462, 0.7536, 0.0086], [0.7536, 0.5462, 0.5086], [0.9080, 0.0920, 0.2500]]}